No. 1
Compound: TcGe2Pb2
Source: Alexandria via LeMat-Bulk
Functional: PBE
Structure: relaxed

Geometry as POSCAR:
```
TcGe2Pb2
1.0
-0.408 4.115 -0.882
-4.182 -0.495 -0.375
-3.099 3.245 6.438
Tc Pb Ge
1 2 2
Cartesian
0.000 0.000 0.000
-2.901 4.585 2.464
-4.788 2.280 2.717
-5.260 4.816 4.632
-2.429 2.049 0.549
```

space-group type: I4/mmm
energy relative to the lowest polymorph listed for this composition: 0.634 eV per atom

No. 2
Compound: TcGePb2
Source: Alexandria via LeMat-Bulk
Functional: PBE
Structure: relaxed

Geometry as POSCAR:
```
TcGePb2
1.0
-3.285 -2.896 4.704
5.103 0.504 3.875
-1.157 4.388 6.284
Pb Ge Tc
4 2 2
Cartesian
-1.750 -0.690 5.061
2.535 1.090 4.515
0.794 1.205 12.273
-0.257 2.387 7.876
2.428 1.848 7.224
0.909 -1.196 4.289
-1.767 0.148 7.639
0.000 0.000 0.000
```

space-group type: I-42d

No. 3
Compound: Tc2GePb
Source: Alexandria via LeMat-Bulk
Functional: PBE
Structure: relaxed

Geometry as POSCAR:
```
Tc2GePb
1.0
4.200 0.000 0.000
0.000 4.200 0.000
2.100 2.100 9.194
Ge Tc Pb
2 4 2
Cartesian
2.100 4.200 4.597
2.100 2.100 0.000
2.725 1.050 2.298
1.474 3.150 2.298
5.249 4.825 6.895
3.150 3.574 6.895
4.200 2.100 4.597
0.000 0.000 0.000
```

space-group type: I-42d
energy relative to the lowest polymorph listed for this composition: 0.156 eV per atom

No. 4
Compound: Tc2GePb
Source: Alexandria via LeMat-Bulk
Functional: PBE
Structure: relaxed

Geometry as POSCAR:
```
Tc2GePb
1.0
0.000 3.225 3.225
3.225 0.000 3.225
3.225 3.225 0.000
Pb Tc Ge
1 2 1
Cartesian
3.225 3.225 3.225
4.837 4.837 4.837
1.612 1.612 1.612
0.000 0.000 0.000
```

space-group type: Fm-3m
energy relative to the lowest polymorph listed for this composition: 0.000 eV per atom

| no. | calculated density (g/cm³) | energy of formation from the pure elements (kJ/mol of formula units) | magnetic moment (Bohr magnetons per cell) |
| --- | --- | --- | --- |
| 1 | 8.42 | 467 | 3.20 |
| 2 | 7.49 | 391 | 3.53 |
| 3 | 9.75 | 242 | 0.00 |
| 4 | 11.78 | 181 | 0.00 |